Material: ZrW2O
Method: DFT, PBE+U
State: optimized geometry

abc: 5.739 5.739 5.739
angles: 99.58 99.58 131.84
Sites, in units of the cell vectors:
Zr (0.000, 0.000, 0.000)
Zr (0.750, 0.250, 0.500)
W (0.229, 0.625, 0.104)
W (0.375, 0.479, 0.604)
W (0.521, 0.125, 0.896)
W (0.875, 0.771, 0.396)
O (0.250, 0.750, 0.500)
O (0.500, 0.500, 0.000)

Calculated values
* DFT total energy: -6.790 eV per atom